Entry 1:
# KLaSn2W

A relaxed structure of KLaSn2W (PBE, the Alexandria database).

Computed properties:
Energy: -17.85 eV per cell
DOS at the Fermi energy: 4.96 states/eV/f.u.
Space group: P4/mmm, No. 123

Unit cell a=5.9824 b=6.0598 c=5.9824 alpha=90.00 beta=90.00 gamma=90.00
Each line ends with the local moment (μB).
Sites, in units of the cell vectors:
W1 0.5000 0.5000 0.5000  -3.44
La1 0.0000 0.0000 0.0000  0.06
K1 0.0000 0.5000 0.0000  -0.01
Sn1 0.0000 0.0000 0.5000  0.15
Sn2 0.5000 0.0000 0.0000  0.05

Entry 2:
# KLaZnSn2

A relaxed structure of KLaZnSn2 (PBE, the Alexandria database).

Computed properties:
Energy: -15.20 eV per cell
DOS at the Fermi energy: 2.64 states/eV/f.u.
Space group: P4/mmm, No. 123

Unit cell a=5.4041 b=5.5889 c=5.4041 alpha=90.00 beta=90.00 gamma=90.00
Sites, in units of the cell vectors:
La1 0.0000 0.5000 0.0000
K1 0.5000 0.5000 0.5000
Zn1 0.0000 0.0000 0.0000
Sn1 0.0000 0.0000 0.5000
Sn2 0.5000 0.0000 0.0000

no.,energy relative to the elements (eV/atom)
1,1.828
2,0.021